# AcLa6Zn2 | the Alexandria database | PBE-GGA | optimized geometry
# space group	P4/mmm
# mass density	6.5	g/cm3
# polymorph energy (0 for the lowest one)	81	meV per atom
# M_tot	0.000	μB/atom
# ΔH_f (0 K)	-0.05	eV per atom
data_AcLa6Zn2
_chemical_formula_sum 'Ac1 La6 Zn2'
_space_group_name_H-M_alt 'P 1'
_space_group_IT_number 1
_space_group_name_Hall 'P 1'
_cell_length_a 5.189
_cell_length_b 5.189
_cell_length_c 11.287
_cell_angle_alpha 90.00
_cell_angle_beta 90.00
_cell_angle_gamma 90.00
loop_
_atom_site_label
_atom_site_type_symbol
_atom_site_fract_x
_atom_site_fract_y
_atom_site_fract_z
La1 La 0.500 0.000 0.264
La2 La 0.000 0.500 0.736
La3 La 0.500 0.000 0.736
La4 La 0.000 0.000 0.500
La5 La 0.000 0.500 0.264
La6 La 0.500 0.500 0.500
Ac1 Ac 0.000 0.000 0.000
Zn1 Zn 0.500 0.500 0.893
Zn2 Zn 0.500 0.500 0.107